K2Mn2O3 | PBE+U | relaxed

Results
- symmetry = P2_1/c
- E above lowest polymorph (eV/atom) = 0.000
- M_tot (μB/cell) = 20.00
- uncorrected energy (hartree per atom) = -0.221

abc: 6.181 6.530 6.546
angles: 90.00 90.00 115.23
Each line ends with the local moment (μB).
Atoms (fractional coordinates):
K: 0.816 0.571 0.140  0.01
O: 0.000 0.000 0.000  0.07
K: 0.184 0.929 0.640  0.01
O: 0.588 0.216 0.870  0.08
Mn: 0.332 0.071 0.115  4.58
Mn: 0.668 0.429 0.615  4.58
Mn: 0.332 0.571 0.385  4.58
O: 0.412 0.284 0.370  0.08
Mn: 0.668 0.929 0.885  4.58
O: 0.000 0.500 0.500  0.07
K: 0.816 0.071 0.360  0.01
O: 0.412 0.784 0.130  0.08
O: 0.588 0.716 0.630  0.08
K: 0.184 0.429 0.860  0.01